(1)
First-principles (PBE) data for an optimized crystal structure of TiSnS2, as listed in Alexandria.

abc: 8.781 8.781 8.781
angles: 22.31 22.31 22.31
Positions (direct):
S  0.890  0.890  0.890
S  0.110  0.110  0.110
Sn  0.000  0.000  0.000
Ti  0.500  0.500  0.500

Output
total magnetic moment	0.00	μB/cell
symmetry	R-3m, No. 166
E_form (uncorrected)	-989	meV/atom
N(E_F)	2.389	states/eV/f.u.

=====

(2)
First-principles (PBE) data for an optimized crystal structure of GaHI, as listed in Alexandria.

abc: 3.714 6.418 6.473
angles: 106.05 106.67 90.00
Positions (direct):
H  0.844  0.627  0.688
H  0.156  0.373  0.312
I  0.604  0.809  0.209
I  0.396  0.191  0.791
Ga  0.371  0.616  0.742
Ga  0.629  0.384  0.258

Output
total magnetic moment	0.00	μB/cell
symmetry	C2/m, No. 12
relative energy among the computed polymorphs	0.156	eV per atom
N(E_F)	0.222	states/eV/f.u.

=====

(3)
First-principles (PBE) data for an optimized crystal structure of AcThIrSe, as listed in Alexandria.

abc: 4.197 4.197 8.111
angles: 90.01 104.98 120.00
Positions (direct):
Ir  0.319  0.557  0.892
Th  0.112  0.954  0.082
Ac  0.492  0.144  0.651
Se  0.955  0.375  0.345

Output
total magnetic moment	0.00	μB/cell
symmetry	R3m, No. 160
E_form (uncorrected)	-1272	meV/atom
N(E_F)	1.059	states/eV/f.u.

=====

(4)
First-principles (PBE) data for an optimized crystal structure of Pr6AgIr3, as listed in Alexandria.

abc: 4.285 12.080 12.170
angles: 108.57 90.00 90.00
Positions (direct):
Ir  0.250  0.301  0.489
Ir  0.750  0.160  0.069
Ir  0.250  0.840  0.931
Ir  0.250  0.539  0.171
Ir  0.750  0.461  0.829
Ir  0.750  0.699  0.511
Pr  0.750  0.129  0.453
Pr  0.250  0.543  0.405
Pr  0.750  0.390  0.042
Pr  0.250  0.237  0.229
Pr  0.750  0.763  0.771
Pr  0.750  0.457  0.595
Pr  0.250  0.066  0.904
Pr  0.250  0.610  0.958
Pr  0.250  0.294  0.734
Pr  0.750  0.706  0.266
Pr  0.750  0.934  0.096
Pr  0.250  0.871  0.547
Ag  0.750  0.069  0.699
Ag  0.250  0.931  0.301

Output
total magnetic moment	0.00	μB/cell
symmetry	P2_1/m, No. 11
relative energy among the computed polymorphs	0.000	eV per atom
N(E_F)	5.993	states/eV/f.u.
ΔE_f	-4.829	eV per formula unit

=====

(5)
First-principles (PBE) data for an optimized crystal structure of Pm3Sm4In2, as listed in Alexandria.

abc: 4.854 6.116 10.572
angles: 73.90 76.73 66.62
Positions (direct):
Sm  0.007  0.660  0.325
Sm  0.670  0.549  0.111
Sm  0.993  0.340  0.675
Sm  0.330  0.451  0.889
Pm  0.672  0.210  0.446
Pm  0.000  0.000  0.000
Pm  0.328  0.790  0.554
In  0.338  0.108  0.217
In  0.662  0.892  0.783

Output
total magnetic moment	0.00	μB/cell
symmetry	C2/m, No. 12
relative energy among the computed polymorphs	0.000	eV per atom
N(E_F)	10.831	states/eV/f.u.
ΔE_f	-1.897	eV per formula unit

=====

(6)
First-principles (PBE) data for an optimized crystal structure of Zr2Al8Ir, as listed in Alexandria.

abc: 4.182 4.182 10.867
angles: 90.00 90.00 90.00
Positions (direct):
Al  0.000  0.500  0.500
Al  0.500  0.500  0.311
Al  0.500  0.000  0.128
Al  0.000  0.500  0.128
Al  0.500  0.000  0.872
Al  0.000  0.500  0.872
Al  0.500  0.500  0.689
Al  0.500  0.000  0.500
Ir  0.000  0.000  0.000
Zr  0.000  0.000  0.685
Zr  0.000  0.000  0.315

Output
total magnetic moment	0.00	μB/cell
symmetry	P4/mmm, No. 123
N(E_F)	3.382	states/eV/f.u.
ΔE_f	-6.267	eV per formula unit